No. 1
First-principles (GGA-PBE) data for a relaxed La2YPb crystal, as listed in Alexandria via LeMat-Bulk.

**E_form**: -0.3065 eV/atom
**Energy**: -0.19526 Ha/atom
**SG**: I4/mmm (139)

Lattice parameters (Å, degrees): 6.3715 6.3715 6.3715 134.94 134.94 65.63
Atoms (fractional coordinates):
La  0.2500  0.7500  0.5000
La  0.7500  0.2500  0.5000
Y  0.0000  0.0000  0.0000
Pb  0.5000  0.5000  0.0000

No. 2
First-principles (GGA-PBE) data for a relaxed NaLaTeP2 crystal, as listed in Alexandria via LeMat-Bulk.

**Energy**: -0.14201 Ha/atom
**Uncorrected formation energy**: 0.1773 eV/atom
**SG**: P4/mmm (123)

Lattice parameters (Å, degrees): 5.3692 5.3692 4.9707 90.00 90.00 90.00
Atoms (fractional coordinates):
Na  0.0000  0.0000  0.0000
La  0.5000  0.5000  0.0000
Te  0.0000  0.0000  0.5000
P  0.0000  0.5000  0.5000
P  0.5000  0.0000  0.5000

No. 3
First-principles (GGA-PBE) data for a relaxed CaNi2Pb2 crystal, as listed in Alexandria via LeMat-Bulk.

**E_form**: -0.0724 eV/atom
**ΔE to the lowest computed polymorph**: 0 meV/atom
**Energy**: -0.15687 Ha/atom
**SG**: I4/mmm (139)

Lattice parameters (Å, degrees): 6.3345 6.3345 6.3345 137.66 137.66 61.42
Atoms (fractional coordinates):
Ca  0.0000  0.0000  0.0000
Ni  0.2500  0.7500  0.5000
Ni  0.7500  0.2500  0.5000
Pb  0.3595  0.3595  0.0000
Pb  0.6405  0.6405  0.0000

No. 4
First-principles (GGA-PBE) data for a relaxed Be3CdGa crystal, as listed in Alexandria via LeMat-Bulk.

**E_form**: 0.7964 eV/atom
**ΔE to the lowest computed polymorph**: 0 meV/atom
**Energy**: -0.08187 Ha/atom
**SG**: Pm-3m (221)

Lattice parameters (Å, degrees): 4.3108 4.3108 4.3108 90.00 90.00 90.00
Atoms (fractional coordinates):
Be  0.0000  0.0000  0.5000
Be  0.0000  0.5000  0.0000
Be  0.5000  0.0000  0.0000
Cd  0.5000  0.5000  0.5000
Ga  0.0000  0.0000  0.0000

No. 5
First-principles (GGA-PBE) data for a relaxed Tb6SmYTm2 crystal, as listed in Alexandria via LeMat-Bulk.

**E_form**: 0.1182 eV/atom
**Energy**: -0.17171 Ha/atom
**SG**: C2/c (15)

Lattice parameters (Å, degrees): 8.7831 8.7831 9.5416 93.70 93.70 117.81
Atoms (fractional coordinates):
Tb  0.0183  0.5650  0.1821
Tb  0.1202  0.7530  0.5555
Tb  0.2470  0.8798  0.9445
Tb  0.2918  0.5082  0.3800
Tb  0.4350  0.9817  0.3179
Tb  0.4918  0.7082  0.1200
Tb  0.5082  0.2918  0.8800
Tb  0.5650  0.0183  0.6821
Tb  0.7082  0.4918  0.6200
Tb  0.7530  0.1202  0.0555
Tb  0.8798  0.2470  0.4445
Tb  0.9817  0.4350  0.8179
Sm  0.0263  0.9737  0.2500
Sm  0.9737  0.0263  0.7500
Y  0.4089  0.5911  0.7500
Y  0.5911  0.4089  0.2500
Tm  0.1989  0.3032  0.0454
Tm  0.3032  0.1989  0.5454
Tm  0.6968  0.8011  0.4546
Tm  0.8011  0.6968  0.9546

No. 6
First-principles (GGA-PBE) data for a relaxed MgGa2ReNi crystal, as listed in Alexandria via LeMat-Bulk.

**E_form**: 1.7400 eV/atom
**Energy**: -0.12625 Ha/atom
**SG**: P4/mmm (123)

Lattice parameters (Å, degrees): 4.6584 4.6584 4.7051 90.00 90.00 90.00
Atoms (fractional coordinates):
Mg  0.0000  0.0000  0.0000
Ga  0.0000  0.5000  0.0000
Ga  0.5000  0.0000  0.0000
Re  0.0000  0.0000  0.5000
Ni  0.5000  0.5000  0.5000

No. 7
First-principles (GGA-PBE) data for a relaxed Sm4Zn2Ru2C crystal, as listed in Alexandria via LeMat-Bulk.

**E_form**: -0.2614 eV/atom
**Energy**: -0.21050 Ha/atom
**SG**: C2/m (12)

Lattice parameters (Å, degrees): 6.2936 6.2936 5.1437 91.52 91.52 71.05
Atoms (fractional coordinates):
Sm  0.1225  0.6279  0.7489
Sm  0.3721  0.8775  0.2511
Sm  0.6279  0.1225  0.7489
Sm  0.8775  0.3721  0.2511
Zn  0.1343  0.1343  0.7772
Zn  0.8657  0.8657  0.2228
Ru  0.3692  0.3692  0.2305
Ru  0.6308  0.6308  0.7695
C  0.5000  0.5000  0.5000

No. 8
First-principles (GGA-PBE) data for a relaxed BaCrH4 crystal, as listed in Alexandria via LeMat-Bulk.

**Energy**: -0.15418 Ha/atom
**SG**: P4/nmm (129)

Lattice parameters (Å, degrees): 7.2030 7.2030 3.7007 90.00 90.00 90.00
Atoms (fractional coordinates):
Ba  0.2500  0.2500  0.0128
Ba  0.7500  0.7500  0.9872
Cr  0.2500  0.7500  0.5000
Cr  0.7500  0.2500  0.5000
H  0.0097  0.7500  0.4879
H  0.2500  0.5097  0.5121
H  0.2500  0.9903  0.5121
H  0.4903  0.7500  0.4879
H  0.5097  0.2500  0.5121
H  0.7500  0.0097  0.4879
H  0.7500  0.4903  0.4879
H  0.9903  0.2500  0.5121

No. 9
First-principles (GGA-PBE) data for a relaxed Cr2InPt crystal, as listed in Alexandria via LeMat-Bulk.

**E_form**: 0.2066 eV/atom
**Energy**: -0.24989 Ha/atom
**SG**: R3m (160)

Lattice parameters (Å, degrees): 8.5816 8.5816 8.5816 19.56 19.56 19.56
Atoms (fractional coordinates):
Cr  0.0000  0.0000  0.0000
Cr  0.2735  0.2735  0.2735
In  0.7615  0.7615  0.7615
Pt  0.5219  0.5219  0.5219

No. 10
First-principles (GGA-PBE) data for a relaxed Sm7Tm2Th crystal, as listed in Alexandria via LeMat-Bulk.

**E_form**: 0.6981 eV/atom
**Energy**: -0.15587 Ha/atom
**SG**: Cmmm (65)

Lattice parameters (Å, degrees): 9.5811 9.5811 5.3151 90.00 90.00 124.52
Atoms (fractional coordinates):
Sm  0.0000  0.0000  0.0000
Sm  0.2100  0.4325  0.0000
Sm  0.2995  0.7005  0.5000
Sm  0.4325  0.2100  0.0000
Sm  0.5675  0.7900  0.0000
Sm  0.7005  0.2995  0.5000
Sm  0.7900  0.5675  0.0000
Tm  0.2006  0.7994  0.0000
Tm  0.7994  0.2006  0.0000
Th  0.5000  0.5000  0.5000

No. 11
First-principles (GGA-PBE) data for a relaxed Rb3Np3GeSe8 crystal, as listed in Alexandria via LeMat-Bulk.

**Energy**: -0.22166 Ha/atom
**Uncorrected formation energy**: -1.0837 eV/atom
**SG**: R-3m (166)

Lattice parameters (Å, degrees): 9.3924 9.3924 9.3924 53.43 53.43 53.43
Atoms (fractional coordinates):
Rb  0.0000  0.5000  0.5000
Rb  0.5000  0.0000  0.5000
Rb  0.5000  0.5000  0.0000
Np  0.0000  0.0000  0.5000
Np  0.0000  0.5000  0.0000
Np  0.5000  0.0000  0.0000
Ge  0.5000  0.5000  0.5000
Se  0.2248  0.7305  0.7305
Se  0.2316  0.2316  0.2316
Se  0.2695  0.2695  0.7752
Se  0.2695  0.7752  0.2695
Se  0.7305  0.2248  0.7305
Se  0.7305  0.7305  0.2248
Se  0.7684  0.7684  0.7684
Se  0.7752  0.2695  0.2695

No. 12
First-principles (GGA-PBE) data for a relaxed UZnBO6 crystal, as listed in Alexandria via LeMat-Bulk.

**Energy**: -0.26437 Ha/atom
**Uncorrected formation energy**: -1.7507 eV/atom
**SG**: P-31c (163)

Lattice parameters (Å, degrees): 4.9835 4.9835 8.8489 90.00 90.00 120.00
Atoms (fractional coordinates):
U  0.3333  0.6667  0.2500
U  0.6667  0.3333  0.7500
Zn  0.0000  0.0000  0.0000
Zn  0.0000  0.0000  0.5000
B  0.3333  0.6667  0.7500
B  0.6667  0.3333  0.2500
O  0.0521  0.3787  0.6379
O  0.0521  0.6735  0.8621
O  0.3265  0.3787  0.8621
O  0.3265  0.9479  0.6379
O  0.3787  0.0521  0.1379
O  0.3787  0.3265  0.3621
O  0.6213  0.6735  0.6379
O  0.6213  0.9479  0.8621
O  0.6735  0.0521  0.3621
O  0.6735  0.6213  0.1379
O  0.9479  0.3265  0.1379
O  0.9479  0.6213  0.3621

Number 1: total magnetization 0.02 μB per formula unit, mass density 7.46 g/cm3. Number 2: total magnetization 0.00 μB per formula unit, mass density 4.07 g/cm3. Number 3: total magnetization 0.00 μB per formula unit, mass density 8.33 g/cm3. Number 4: total magnetization 0.00 μB per formula unit, mass density 4.34 g/cm3. Number 5: total magnetization 0.00 μB per formula unit, mass density 7.87 g/cm3. Number 6: total magnetization 1.26 μB per formula unit, mass density 6.65 g/cm3. Number 7: total magnetization 0.00 μB per formula unit, mass density 8.16 g/cm3. Number 8: total magnetization 4.00 μB per formula unit, mass density 3.34 g/cm3. Number 9: total magnetization 0.01 μB per formula unit, mass density 11.09 g/cm3. Number 10: total magnetization 0.00 μB per formula unit, mass density 6.70 g/cm3. Number 11: total magnetization 10.00 μB per formula unit, mass density 5.60 g/cm3. Number 12: total magnetization 0.00 μB per formula unit, mass density 7.16 g/cm3.